w) Compound: NaTbDy2
Source: Alexandria via LeMat-Bulk
Functional: PBE
Structure: optimized geometry

The structure in POSCAR format:
```
NaTbDy2
1.0
3.5330 0.0000 0.0000
0.0000 3.5330 0.0000
0.0000 0.0000 10.5310
Na Tb Dy
1 1 2
direct
0.0000 0.0000 0.0000
0.0000 0.0000 0.5000
0.5000 0.5000 0.2694
0.5000 0.5000 0.7306
```

Results
Magnetic moment (μB/f.u.): 0.00
Calculated volume (Å³ per cell): 131

---

x) Compound: NaTbDy2
Source: Alexandria via LeMat-Bulk
Functional: PBE
Structure: optimized geometry

The structure in POSCAR format:
```
NaTbDy2
1.0
1.7496 1.0102 12.6647
-1.7496 1.0102 12.6647
0.0000 -2.0203 12.6647
Na Tb Dy
1 1 2
direct
0.0000 0.0000 0.0000
0.5000 0.5000 0.5000
0.0920 0.0920 0.0920
0.9080 0.9080 0.9080
```

Results
Magnetic moment (μB/f.u.): 0.00
Calculated volume (Å³ per cell): 134

---

What should be chosen as the least stable of them? Choose x).

---

w) Compound: NaTb2Dy
Source: Alexandria via LeMat-Bulk
Functional: PBE
Structure: optimized geometry

The structure in POSCAR format:
```
NaTb2Dy
1.0
3.5220 0.0000 0.0000
0.0000 3.5220 0.0000
0.0000 0.0000 10.6123
Na Tb Dy
1 2 1
direct
0.0000 0.0000 0.0000
0.5000 0.5000 0.2694
0.5000 0.5000 0.7306
0.0000 0.0000 0.5000
```

Results
Magnetic moment (μB/f.u.): 0.00
Calculated volume (Å³ per cell): 132

---

x) Compound: NaTb2Dy
Source: Alexandria via LeMat-Bulk
Functional: PBE
Structure: optimized geometry

The structure in POSCAR format:
```
NaTb2Dy
1.0
1.7523 1.0117 12.6760
-1.7523 1.0117 12.6760
0.0000 -2.0234 12.6760
Na Tb Dy
1 2 1
direct
0.0000 0.0000 0.0000
0.0921 0.0921 0.0921
0.9079 0.9079 0.9079
0.5000 0.5000 0.5000
```

Results
Magnetic moment (μB/f.u.): 0.00
Calculated volume (Å³ per cell): 135

---

What should be chosen as the least stable of them? Choose x).